# 1
The following is a GGA-PBE calculation of a geometry-optimized CaHgP2O structure, from Alexandria via LeMat-Bulk.

Values from the calculation:
- Formation energy (no corrections): 0.284 eV/atom
- Uncorrected energy: -16.66 eV per cell

a b c (Å): 5.0728 5.0728 4.2797
angles (deg): 90.00 90.00 90.00
Space group P4/mmm (No. 123)
One atom of each set of equivalent atoms:
Ca1 0.0000 0.0000 0.0000 (multiplicity 1)
Hg1 0.5000 0.5000 0.5000 (multiplicity 1)
P1 0.0000 0.5000 0.5000 (multiplicity 2)
O1 0.5000 0.5000 0.0000 (multiplicity 1)

# 2
The following is a GGA-PBE calculation of a geometry-optimized LaTbTlPd structure, from Alexandria via LeMat-Bulk.

Values from the calculation:
- Energy of formation: -502 meV/atom
- Uncorrected energy: -76.50 eV per cell

a b c (Å): 7.5320 7.5320 7.5320
angles (deg): 90.00 90.00 90.00
Space group F-43m (No. 216)
One atom of each set of equivalent atoms:
La1 0.0000 0.0000 0.0000 (multiplicity 4)
Tb1 0.0000 0.0000 0.5000 (multiplicity 4)
Tl1 0.2500 0.2500 0.2500 (multiplicity 4)
Pd1 0.2500 0.2500 0.7500 (multiplicity 4)